# 1
TiAgPb3 after structural relaxation. Source: the Alexandria database, functional GGA-PBEsol.

Structure (extended XYZ):
```
5
Lattice="5.311 0.000 0.000 0.000 5.311 0.000 0.000 0.000 5.311" Properties=species:S:1:pos:R:3 pbc="T T T"
Pb 0.000 0.000 2.656
Pb 0.000 2.656 0.000
Ag 2.656 2.656 2.656
Ti 0.000 0.000 0.000
Pb 2.656 0.000 0.000
```

Summary:
The value obtained for the total magnetization is 0.001 μB per cell. For the total energy, the calculation gives -21.05 eV for the cell shown. The calculation puts the density of states at the Fermi level at 3.6 states/eV/f.u. As for the calculated formation energy: 0.516 eV per atom.


# 2
Li2AgAu after structural relaxation. Source: the Alexandria database, functional GGA-PBEsol.

Structure (extended XYZ):
```
4
Lattice="3.312 0.000 0.000 0.000 4.202 0.000 0.000 0.000 4.202" Properties=species:S:1:pos:R:3 pbc="T T T"
Ag 1.656 2.101 2.101
Au 1.656 0.000 0.000
Li 0.000 2.101 0.000
Li 0.000 0.000 2.101
```

Summary:
The value obtained for the total magnetization is 0.000 μB per cell. The calculation puts the distance to the lowest polymorph of the same formula at 8 meV/atom. For the total energy, the calculation gives -12.59 eV for the cell shown. The calculation puts the density of states at the Fermi level at 1.2 states/eV/f.u. As for the calculated formation energy: -0.355 eV per atom.


# 3
Cs3Ge4Au after structural relaxation. Source: the Alexandria database, functional GGA-PBEsol.

Structure (extended XYZ):
```
16
Lattice="6.101 0.000 0.000 0.000 7.098 0.000 0.000 0.000 12.932" Properties=species:S:1:pos:R:3 pbc="T T T"
Cs 0.943 0.000 3.023
Cs 2.652 3.549 6.466
Ge 0.394 4.906 0.000
Cs 3.449 0.000 0.000
Ge 5.706 1.357 6.466
Ge 5.706 5.741 6.466
Cs 5.158 3.549 9.489
Ge 2.058 3.549 1.373
Ge 0.394 2.192 0.000
Cs 5.158 3.549 3.443
Cs 0.943 0.000 9.909
Ge 2.058 3.549 11.559
Au 1.836 0.000 6.466
Ge 4.042 0.000 5.093
Au 4.264 3.549 0.000
Ge 4.042 0.000 7.839
```

Summary:
The value obtained for the total magnetization is 0.000 μB per cell. For the total energy, the calculation gives -57.65 eV for the cell shown. As for the calculated formation energy: -0.290 eV per atom.


# 4
MnAlRu3 after structural relaxation. Source: the Alexandria database, functional GGA-PBEsol.

Structure (extended XYZ):
```
5
Lattice="4.314 0.000 0.000 0.000 4.314 0.000 0.000 0.000 4.314" Properties=species:S:1:pos:R:3 pbc="T T T"
Ru 2.157 0.000 0.000
Ru 0.000 2.157 0.000
Al 2.157 2.157 2.157
Ru 0.000 0.000 2.157
Mn 0.000 0.000 0.000
```

Summary:
The value obtained for the total magnetization is 0.001 μB per cell. For the total energy, the calculation gives -38.68 eV for the cell shown. The calculation puts the density of states at the Fermi level at 7.1 states/eV/f.u. As for the calculated formation energy: 1.137 eV per atom.


# 5
CdReNi2 after structural relaxation. Source: the Alexandria database, functional GGA-PBEsol.

Structure (extended XYZ):
```
4
Lattice="-1.433 0.629 -2.131 -0.029 -4.342 -1.262 -3.743 0.068 2.537" Properties=species:S:1:pos:R:3 pbc="T T T"
Ni -1.871 0.034 1.268
Re -2.602 -1.822 -0.428
Ni -0.015 -2.171 -0.631
Cd -0.716 0.315 -1.066
```

Summary:
The value obtained for the total magnetization is 0.516 μB per cell. For the total energy, the calculation gives -25.84 eV for the cell shown. The calculation puts the density of states at the Fermi level at 4.6 states/eV/f.u. As for the calculated formation energy: 0.251 eV per atom.


# 6
Ta2ZnW after structural relaxation. Source: the Alexandria database, functional GGA-PBEsol.

Structure (extended XYZ):
```
4
Lattice="2.705 0.000 0.000 0.000 4.181 0.000 0.000 0.000 5.789" Properties=species:S:1:pos:R:3 pbc="T T T"
Zn 1.352 2.090 2.895
Ta 0.000 0.000 4.333
W 1.352 2.090 0.000
Ta 0.000 0.000 1.456
```

Summary:
The value obtained for the total magnetization is 0.000 μB per cell. For the total energy, the calculation gives -39.72 eV for the cell shown. The calculation puts the density of states at the Fermi level at 2.9 states/eV/f.u. As for the calculated formation energy: 0.192 eV per atom.


# 7
FeSn4H24C8Se10N2 after structural relaxation. Source: the Alexandria database, functional GGA-PBEsol.

Structure (extended XYZ):
```
49
Lattice="-3.930 1.830 8.843 -0.417 -9.695 -3.663 5.904 -6.777 4.026" Properties=species:S:1:pos:R:3 pbc="T T T"
H 4.121 -14.883 0.687
H 0.096 -7.394 6.510
H 1.200 -6.534 8.415
C 1.224 -7.527 8.892
Se 5.001 -11.178 3.244
Fe 0.987 -2.474 6.435
H 2.152 -10.022 9.061
H -0.184 -0.602 2.026
Se -1.512 -4.776 3.387
H 1.750 -12.606 8.719
C 1.256 -9.916 8.429
H 1.620 -6.357 11.349
H -0.813 -8.586 7.541
C -2.874 -8.089 5.159
H 2.513 -7.351 6.624
Se 1.315 -11.834 4.987
Sn -2.345 -3.074 8.465
H -2.481 -7.823 6.152
H 0.341 -10.011 9.036
N 1.272 -8.558 7.820
H 2.529 -9.125 6.223
C 1.398 -5.297 11.541
Sn 3.759 -12.438 5.084
C 0.089 -8.414 6.930
H -2.425 -7.437 4.391
H 0.312 -7.692 9.488
N 0.000 0.000 0.000
H 3.380 -8.525 7.705
Se -1.851 -5.567 8.227
Se 1.714 -4.670 5.963
H 1.259 -10.651 7.606
Se -1.811 -8.203 0.893
H 4.201 -7.448 5.062
Se 2.381 -3.966 1.879
Se 1.477 -7.765 3.554
Sn 0.987 -5.242 3.620
H 0.168 -9.163 6.126
H -0.249 -8.013 -2.383
C 2.520 -8.377 7.031
C 5.211 -15.041 0.665
C -0.619 -0.860 1.047
H 4.236 -6.972 2.730
Sn 0.714 -8.532 1.243
H 2.130 -7.644 9.510
H 1.854 -4.653 10.772
Se 1.371 -10.943 0.920
H -0.421 -1.917 0.804
H -2.675 -9.147 4.927
Se -1.284 -1.839 6.543
```

Summary:
The value obtained for the total magnetization is 3.995 μB per cell. For the total energy, the calculation gives -247.04 eV for the cell shown. The calculation puts the density of states at the Fermi level at 1.2 states/eV/f.u.


# 8
Zn2CoOs after structural relaxation. Source: the Alexandria database, functional GGA-PBEsol.

Structure (extended XYZ):
```
4
Lattice="-2.102 3.582 0.184 -3.961 0.152 -1.250 -3.043 0.483 2.790" Properties=species:S:1:pos:R:3 pbc="T T T"
Zn 0.000 0.000 0.000
Co -4.553 2.108 0.862
Os -6.829 3.162 1.293
Zn -2.276 1.054 0.431
```

Summary:
The value obtained for the total magnetization is 2.260 μB per cell. The calculation puts the distance to the lowest polymorph of the same formula at 81 meV/atom. For the total energy, the calculation gives -22.24 eV for the cell shown. The calculation puts the density of states at the Fermi level at 2.1 states/eV/f.u. As for the calculated formation energy: 0.219 eV per atom.


# 9
CdPbBr2 after structural relaxation. Source: the Alexandria database, functional GGA-PBEsol.

Structure (extended XYZ):
```
4
Lattice="5.332 0.000 0.000 2.666 4.617 0.000 2.666 1.539 4.353" Properties=species:S:1:pos:R:3 pbc="T T T"
Br 2.666 1.539 1.088
Cd 5.332 3.078 2.177
Pb 7.997 4.617 3.265
Br 0.000 0.000 0.000
```

Summary:
The value obtained for the total magnetization is 0.000 μB per cell. The calculation puts the distance to the lowest polymorph of the same formula at 183 meV/atom. Its uncorrected formation energy is -214 meV/atom. For the total energy, the calculation gives -9.79 eV for the cell shown.


# 10
MnCN2 after structural relaxation. Source: the Alexandria database, functional GGA-PBEsol.

Structure (extended XYZ):
```
4
Lattice="-3.132 0.538 -0.821 -2.288 -2.247 0.698 -2.558 1.508 4.183" Properties=species:S:1:pos:R:3 pbc="T T T"
C 0.000 0.000 0.000
N -2.363 0.968 3.086
N -5.615 -1.170 0.973
Mn -3.989 -0.101 2.030
```

Summary:
The value obtained for the total magnetization is 4.961 μB per cell. Its uncorrected formation energy is 23 meV/atom. For the total energy, the calculation gives -36.37 eV for the cell shown. The calculation puts the density of states at the Fermi level at 0.5 states/eV/f.u.


# 11
NaSmS2 after structural relaxation. Source: the Alexandria database, functional GGA-PBEsol.

Structure (extended XYZ):
```
4
Lattice="-2.816 -1.739 -2.287 -0.501 -3.990 0.112 -5.491 -1.222 4.151" Properties=species:S:1:pos:R:3 pbc="T T T"
S -2.124 -1.750 0.407
Na -4.404 -3.475 0.988
Sm 0.000 0.000 0.000
S -6.685 -5.201 1.569
```

Summary:
The value obtained for the total magnetization is 0.000 μB per cell. Its uncorrected formation energy is -1830 meV/atom. For the total energy, the calculation gives -22.58 eV for the cell shown. The calculation puts the density of states at the Fermi level at 0.0 states/eV/f.u.


# 12
Rb2TlGaCl6 after structural relaxation. Source: the Alexandria database, functional GGA-PBEsol.

Structure (extended XYZ):
```
10
Lattice="-6.807 -2.287 2.184 -1.376 -1.281 7.266 -4.463 4.646 3.850" Properties=species:S:1:pos:R:3 pbc="T T T"
Cl -6.591 -1.027 4.175
Rb -9.485 0.809 9.976
Rb -3.162 0.270 3.325
Cl -6.055 2.106 9.126
Cl -7.354 -1.737 8.203
Cl -5.292 2.816 5.098
Cl -9.065 1.548 6.309
Ga 0.000 0.000 0.000
Tl -6.323 0.539 6.651
Cl -3.581 -0.469 6.992
```

Summary:
The value obtained for the total magnetization is 0.000 μB per cell. Its uncorrected formation energy is -1407 meV/atom. For the total energy, the calculation gives -34.14 eV for the cell shown. The calculation puts the density of states at the Fermi level at 0.0 states/eV/f.u.